Record 1
DFT (PBE-GGA) results for a relaxed structure of ErMgScOs.

Summary:
**Energy relative to the elements**: -208 meV per atom

Lattice parameters (Å, degrees): 4.8387 4.8387 4.8387 60.00 60.00 60.00
Sites, in units of the cell vectors:
Mg1 0.7500 0.7500 0.7500
Sc1 0.0000 0.0000 0.0000
Er1 0.5000 0.5000 0.5000
Os1 0.2500 0.2500 0.2500

Record 2
DFT (PBE-GGA) results for a relaxed structure of ScZn2Si2.

Summary:
**Formation energy (no corrections)**: -0.029 eV/atom

Lattice parameters (Å, degrees): 7.0268 7.0268 3.4174 90.00 90.00 90.00
Sites, in units of the cell vectors:
Si1 0.8744 0.6256 0.0000
Sc1 0.0000 0.0000 0.0000
Zn1 0.1688 0.6688 0.5000
Si2 0.6256 0.1256 0.0000
Zn2 0.3312 0.1688 0.5000
Si3 0.3744 0.8744 0.0000
Si4 0.1256 0.3744 0.0000
Sc2 0.5000 0.5000 0.0000
Zn3 0.8312 0.3312 0.5000
Zn4 0.6688 0.8312 0.5000

Record 3
DFT (PBE-GGA) results for a relaxed structure of Tb7HoHg4.

Summary:
**Energy relative to the elements**: -106 meV per atom

Lattice parameters (Å, degrees): 5.6948 8.9946 7.8577 70.70 68.75 71.54
Sites, in units of the cell vectors:
Tb1 0.5000 0.0000 0.0000
Tb2 0.7916 0.8859 0.5309
Tb3 0.0658 0.5959 0.2724
Hg1 0.6885 0.6596 0.9635
Hg2 0.4530 0.7270 0.3671
Tb4 0.7327 0.3148 0.2198
Tb5 0.2673 0.6852 0.7802
Ho1 0.0000 0.0000 0.0000
Tb6 0.9342 0.4041 0.7276
Hg3 0.5470 0.2730 0.6329
Tb7 0.2084 0.1141 0.4691
Hg4 0.3115 0.3404 0.0365

Record 4
DFT (PBE-GGA) results for a relaxed structure of Nd2YGa.

Summary:
**Energy relative to the elements**: -234 meV per atom

Lattice parameters (Å, degrees): 3.6321 3.6321 9.0616 90.00 90.00 90.00
Sites, in units of the cell vectors:
Y1 0.5000 0.5000 0.5000
Nd1 0.0000 0.0000 0.7904
Ga1 0.5000 0.5000 0.0000
Nd2 0.0000 0.0000 0.2096

Record 5
DFT (PBE-GGA) results for a relaxed structure of YNbPb2O6.

Summary:
**Formation energy (no corrections)**: -2.247 eV/atom

Lattice parameters (Å, degrees): 5.9101 5.9669 8.3956 90.00 90.06 90.00
Sites, in units of the cell vectors:
Y1 0.0000 0.5000 0.5000
O1 0.7754 0.8047 0.5424
O2 0.2754 0.6953 0.0423
O3 0.6903 0.2784 0.5424
O4 0.8097 0.7784 0.9576
O5 0.3097 0.7216 0.4576
Nb1 0.0000 0.5000 0.0000
O6 0.7246 0.3047 0.9577
Nb2 0.5000 0.0000 0.5000
Pb1 0.5063 0.5276 0.7489
O7 0.1903 0.2216 0.0424
O8 0.4179 0.9814 0.7349
Pb2 0.0063 0.9724 0.2489
Pb3 0.9937 0.0276 0.7511
O9 0.9179 0.5186 0.2349
O10 0.5821 0.0186 0.2651
Y2 0.5000 0.0000 0.0000
Pb4 0.4937 0.4724 0.2511
O11 0.2246 0.1953 0.4576
O12 0.0821 0.4814 0.7651

Record 6
DFT (PBE-GGA) results for a relaxed structure of Ac2Nd2Ho.

Summary:
**Energy relative to the elements**: 140 meV per atom

Lattice parameters (Å, degrees): 6.5945 6.5945 10.0654 111.77 96.80 104.66
Sites, in units of the cell vectors:
Ac1 0.4659 0.3638 0.1472
Nd1 0.2258 0.3973 0.4839
Nd2 0.9135 0.2419 0.0161
Ac2 0.2166 0.8187 0.3528
Nd3 0.0865 0.7581 0.9839
Ac3 0.7834 0.1813 0.6472
Ac4 0.5341 0.6362 0.8528
Ho1 0.2589 0.0089 0.7500
Nd4 0.7742 0.6027 0.5161
Ho2 0.7411 0.9911 0.2500

Number 1: electronic total energy -24.552 eV/cell. Number 2: electronic total energy -39.736 eV/cell. Number 3: electronic total energy -39.474 eV/cell. Number 4: electronic total energy -19.965 eV/cell. Number 5: electronic total energy -152.347 eV/cell. Number 6: electronic total energy -43.265 eV/cell.